Record 1
Compound: TeWBr2
Source: Alexandria via LeMat-Bulk
Functional: PBE-GGA
Structure: relaxed

Cell: 5.8664 5.8664 4.6053 Å, 67.14 67.14 112.38°
Closest atoms and distances in Å follow each position.
Atoms (fractional coordinates):
Br: 0.5000 0.5000 0.0000  2 Te 2.94, 2 W 2.94, 2 Br 3.26
Br: 0.0000 0.0000 0.0000  2 W 2.94, 2 Te 2.94, 2 Br 3.26
W: 0.0000 0.5000 0.5000  4 Br 2.94, 2 Te 3.26
Te: 0.5000 0.0000 0.5000  4 Br 2.94, 2 W 3.26

Output
The value obtained for the total magnetization is 3.6 μB per formula unit. The calculation puts the formation energy (no corrections) at 994 meV/atom. For the energy above the most stable polymorph in this dataset, the calculation gives 1048 meV/atom.



Record 2
Compound: Al7Fe2Co2
Source: Alexandria via LeMat-Bulk
Functional: PBE-GGA
Structure: relaxed

Cell: 4.8379 4.8379 6.4992 Å, 97.65 97.65 101.03°
Closest atoms and distances in Å follow each position.
Atoms (fractional coordinates):
Al: 0.1827 0.1827 0.4291  4 Co 2.45-2.56, 1 Fe 2.50, 3 Al 2.60-2.73
Al: 0.9098 0.5106 0.1966  2 Co 2.47-2.58, 3 Fe 2.50-2.55, 2 Al 2.73-2.77
Al: 0.5106 0.9098 0.1966  2 Co 2.47-2.58, 3 Fe 2.50-2.55, 2 Al 2.73-2.77
Al: 0.8173 0.8173 0.5709  4 Co 2.45-2.56, 1 Fe 2.50, 3 Al 2.60-2.73
Al: 0.4894 0.0902 0.8034  2 Co 2.47-2.58, 3 Fe 2.50-2.55, 2 Al 2.73-2.77
Al: 0.0000 0.0000 0.0000  2 Fe 2.30
Al: 0.0902 0.4894 0.8034  2 Co 2.47-2.58, 3 Fe 2.50-2.55, 2 Al 2.73-2.77
Fe: 0.6224 0.6224 0.8715  8 Al 2.30-2.55, 1 Fe 2.47
Fe: 0.3776 0.3776 0.1285  8 Al 2.30-2.55, 1 Fe 2.47
Co: 0.7054 0.2946 0.5000  8 Al 2.45-2.58
Co: 0.2946 0.7054 0.5000  8 Al 2.45-2.58

Output
The value obtained for the total magnetization is 2.4 μB per formula unit.



Record 3
Compound: PaSb2PdO
Source: Alexandria via LeMat-Bulk
Functional: PBE-GGA
Structure: relaxed

Cell: 3.8874 3.8874 14.5163 Å, 90.00 90.00 90.00°
Closest atoms and distances in Å follow each position.
Atoms (fractional coordinates):
Sb: 0.5000 0.0000 0.9229  5 Pd 2.71-2.79
Sb: 0.0000 0.5000 0.0771  5 Pd 2.71-2.79
Sb: 0.0000 0.5000 0.7038  1 Pd 2.71
Sb: 0.5000 0.0000 0.2962  1 Pd 2.71
O: 0.5000 0.5000 0.5000  4 Pa 2.35
O: 0.0000 0.0000 0.5000  4 Pa 2.35
Pd: 0.0000 0.5000 0.8903  6 Sb 2.71-2.79
Pd: 0.5000 0.0000 0.1097  6 Sb 2.71-2.79
Pa: 0.0000 0.5000 0.4090  4 O 2.35
Pa: 0.5000 0.0000 0.5910  4 O 2.35

Output
The value obtained for the total magnetization is 0.2 μB per formula unit. The calculation puts the formation energy (no corrections) at -1320 meV/atom.



Record 4
Compound: SbOsCl2
Source: Alexandria via LeMat-Bulk
Functional: PBE-GGA
Structure: relaxed

Cell: 8.9089 8.9089 8.9089 Å, 23.78 23.78 23.78°
Closest atoms and distances in Å follow each position.
Atoms (fractional coordinates):
Cl: 0.2182 0.2182 0.2182  3 Os 2.65
Cl: 0.0240 0.0240 0.0240  3 Sb 2.91
Os: 0.4903 0.4903 0.4903  3 Sb 2.57, 3 Cl 2.65
Sb: 0.7675 0.7675 0.7675  3 Os 2.57

Output
The value obtained for the total magnetization is 1.0 μB per formula unit. The calculation puts the formation energy (no corrections) at 191 meV/atom. For the energy above the most stable polymorph in this dataset, the calculation gives 168 meV/atom.



Record 5
Compound: NaMg4Sc
Source: Alexandria via LeMat-Bulk
Functional: PBE-GGA
Structure: relaxed

Cell: 5.9825 5.9825 5.9825 Å, 60.00 60.00 60.00°
Closest atoms and distances in Å follow each position.
Atoms (fractional coordinates):
Mg: 0.6241 0.6241 0.1277  6 Mg 2.97-3.01
Mg: 0.6241 0.6241 0.6241  6 Mg 2.97-3.01
Mg: 0.6241 0.1277 0.6241  6 Mg 2.97-3.01
Mg: 0.1277 0.6241 0.6241  6 Mg 2.97-3.01
Na: 0.0000 0.0000 0.0000  12 Mg 3.51, 4 Sc 3.66
Sc: 0.2500 0.2500 0.2500  12 Mg 3.51, 4 Na 3.66

Output
The value obtained for the total magnetization is 0.0 μB per formula unit.



Record 6
Compound: LiNi2Ru
Source: Alexandria via LeMat-Bulk
Functional: PBE-GGA
Structure: relaxed

Cell: 2.4676 4.5610 5.0660 Å, 56.42 90.00 90.00°
Closest atoms and distances in Å follow each position.
Atoms (fractional coordinates):
Li: 0.0000 0.0000 0.5000  2 Li 2.47, 6 Ni 2.53-2.60, 4 Ru 2.59
Ni: 0.5000 0.5000 0.0000  6 Ni 2.47-2.59, 2 Ru 2.53, 4 Li 2.60
Ni: 0.0000 0.0000 0.0000  6 Ni 2.47-2.59, 2 Li 2.53, 4 Ru 2.60
Ru: 0.5000 0.5000 0.5000  2 Ru 2.47, 6 Ni 2.53-2.60, 4 Li 2.59

Output
The value obtained for the total magnetization is 0.4 μB per formula unit. For the energy above the most stable polymorph in this dataset, the calculation gives 96 meV/atom.



Record order is preserved below.
Final energy: -3.867, -5.598, -6.899, -4.571, -2.218, -5.559 eV per atom